No. 1
The following is a PBE calculation of an optimized crystal structure of Cu2NiW, from Alexandria.

Structure (POSCAR):
```
Cu2NiW
1.0
-2.5300 0.3090 0.6548
1.0588 -0.3106 4.2379
0.5935 4.4773 0.1798
W Cu Ni
1 2 1
Cartesian
0.8261 2.0834 2.2089
-0.7356 -0.0008 2.4464
0.0000 0.0000 0.0000
-0.9683 2.3932 0.4173
```

Computed properties:
- Energy of formation from the pure elements: 0.29 eV per atom
- ΔE to the lowest computed polymorph: 178 meV per atom
- SG: Pmmm, No. 47

No. 2
The following is a PBE calculation of an optimized crystal structure of CaAcLa5Pm2, from Alexandria.

Structure (POSCAR):
```
CaAcLa5Pm2
1.0
-8.8205 1.8170 2.8746
-1.4564 -9.2393 1.3711
7.6792 4.4027 5.2361
Pm Ca La Ac
4 2 10 2
Cartesian
-4.7060 -7.4925 2.3289
-8.7170 -4.0514 3.3904
-1.5599 -3.3709 0.8554
-5.5709 0.0702 1.9168
0.5422 -4.2739 4.3650
-3.1398 1.2543 5.1168
4.1457 2.8940 4.5698
-2.1972 -5.9600 3.3468
4.2405 -1.8952 4.9872
-0.4004 2.9404 6.1351
-6.7433 -5.9136 4.9120
-5.1384 -3.7112 2.1229
-6.8382 -1.1244 4.4947
0.0000 0.0000 0.0000
-2.2920 -1.1708 2.9294
-0.3056 -1.8488 6.5524
1.2704 0.3458 3.6795
-3.8680 -3.3654 5.8023
```

Computed properties:
- Energy of formation from the pure elements: 0.23 eV per atom
- SG: I4/mcm, No. 140

No. 3
The following is a PBE calculation of an optimized crystal structure of Mg12Al2Sn5, from Alexandria.

Structure (POSCAR):
```
Mg12Al2Sn5
1.0
-0.4463 2.1704 -6.5170
-0.6761 -8.3840 0.8894
-9.1100 1.3263 1.0656
Sn Mg Al
5 12 2
Cartesian
-6.4089 -3.3674 -0.6826
-3.8236 -1.5199 -3.8795
-1.8999 -4.8859 -1.4971
-8.3325 -0.0013 -3.0650
-4.5550 0.6632 0.5328
-2.9936 1.0948 -3.0656
-1.5313 -1.9228 -2.2485
-5.6483 -0.8193 -1.7565
-1.8142 0.0869 0.1532
-8.7011 -2.9645 -2.3136
-4.5841 -4.0680 -2.8055
-8.4651 -4.1121 1.1324
-1.7673 -0.7752 -5.6945
-7.2388 -5.9820 -1.4965
-8.4182 -4.9742 -4.7153
-5.8649 0.2343 -4.9202
-4.3675 -5.1216 0.3581
-0.3078 1.4969 -4.4947
-0.1385 0.6735 -2.0223
```

Computed properties:
- Energy of formation from the pure elements: -0.01 eV per atom
- SG: C2/m, No. 12

No. 4
The following is a PBE calculation of an optimized crystal structure of Rb12S3I5, from Alexandria.

Structure (POSCAR):
```
Rb12S3I5
1.0
-0.2431 -13.7313 -11.3535
16.7642 3.1511 5.1520
-9.9601 -3.8995 14.2514
Rb S I
48 12 20
Cartesian
0.9517 -5.8701 1.5684
3.9919 -6.8696 11.3729
-1.3634 -9.4324 -3.3956
-3.4479 -7.1704 4.2585
3.3625 -10.4881 -1.1968
3.3241 -12.6076 -4.9780
5.6094 -8.6096 6.4814
-0.9617 -2.8403 13.2654
8.7553 -7.4223 7.9395
1.3669 -10.0367 -6.7079
10.0089 -7.3093 3.7914
8.7186 -3.6721 5.7655
13.6156 1.4197 5.8024
3.2369 -1.8722 13.0278
-2.1575 -10.8076 2.2844
7.9245 -5.0473 11.4454
0.3935 -10.4231 8.4244
10.1118 -1.6221 2.2330
5.1942 -4.4430 14.7578
3.1986 -3.9917 9.2466
-3.9391 -10.4594 8.5610
-7.0546 -15.8995 2.2474
-0.1469 -12.7386 -2.3845
-1.4315 -2.0044 6.2661
6.7080 -1.7412 10.4344
8.2984 -8.9341 -2.8677
5.9273 -0.8578 1.3983
12.1970 -9.5880 -1.1371
6.1403 -12.6066 4.9437
12.0386 0.0597 8.8184
10.5002 -4.0204 -0.5111
-0.0268 -7.2117 5.5727
6.5878 -7.2680 2.4772
2.5692 -7.6102 -3.3230
0.6337 -13.6219 6.6516
1.4116 -10.0485 2.6273
-5.4775 -14.5395 -0.7686
-5.6360 -4.8917 9.1869
0.4208 -1.8732 3.1062
5.1494 -4.4313 5.4226
7.9925 -12.4753 1.7838
-8.2289 -5.7583 11.6279
-1.7373 -5.5457 10.9175
-3.5508 -12.8577 5.8169
7.5227 -11.6395 -5.2155
6.1676 -4.0566 -0.3746
-2.1943 -7.0575 0.1104
14.7900 -8.7215 -3.5781
6.2570 -5.2231 8.5135
11.1154 -10.1391 -4.2889
4.8592 -9.6043 -4.8017
-1.7003 -4.5013 3.1499
1.7018 -4.8755 12.8516
7.8964 -4.1547 2.5253
7.1682 -1.8839 13.7773
-4.5544 -4.3407 12.3388
8.2613 -9.9785 4.9000
0.3041 -9.2566 -0.4637
-0.6072 -12.5959 -5.7275
-1.3354 -10.3250 5.5246
0.0008 -4.6884 8.0007
-4.9800 -1.9497 7.1257
3.7062 -9.6308 9.2380
-6.8019 -13.3167 4.5988
13.3629 -1.1631 3.4510
3.7662 -1.5096 4.0757
2.8549 -4.8489 -1.1882
8.3821 1.5755 2.5760
2.7949 -12.9701 3.9742
8.8077 -0.8154 7.7891
8.2605 -5.2901 -3.1008
0.0000 0.0000 0.0000
6.5603 -9.7914 0.0491
-2.2467 -13.6643 0.2608
12.0267 -6.7998 0.9749
-5.1016 -8.8154 1.4489
-5.4657 -7.6800 7.0750
3.4021 -0.3742 9.7017
-0.1216 -6.8657 -5.6768
3.2805 -7.2399 4.0249
```

Computed properties:
- ΔE to the lowest computed polymorph: 130 meV per atom
- SG: Ia-3d, No. 230
- E_form (uncorrected): -1.0392 eV/atom

No. 5
The following is a PBE calculation of an optimized crystal structure of CsPtN2F, from Alexandria.

Structure (POSCAR):
```
CsPtN2F
1.0
-2.3857 -0.4520 -2.9463
-2.4749 -1.8030 2.2806
-3.1754 6.3742 1.5933
N Pt F Cs
2 1 1 1
Cartesian
-1.2374 -0.9015 1.1403
-1.1928 -0.2260 -1.4732
0.0000 0.0000 0.0000
-1.5877 3.1871 0.7967
-4.0180 2.0596 0.4638
```

Computed properties:
- ΔE to the lowest computed polymorph: 0 meV per atom
- SG: P4/mmm, No. 123
- E_form (uncorrected): 0.0435 eV/atom

No. 6
The following is a PBE calculation of an optimized crystal structure of ZnAgIr2, from Alexandria.

Structure (POSCAR):
```
ZnAgIr2
1.0
-2.7340 0.0455 -3.8707
-0.3847 -1.3501 -4.5264
-2.3729 -4.2464 0.5364
Ag Zn Ir
1 1 2
Cartesian
-4.0643 -4.0528 -5.9360
-2.8066 -2.8532 -3.9829
-1.2949 -1.2557 -1.9667
-3.1902 -1.4695 -8.3027
```

Computed properties:
- Energy of formation from the pure elements: 0.14 eV per atom
- SG: Cm, No. 8

No. 7
The following is a PBE calculation of an optimized crystal structure of Ac6SiN4, from Alexandria.

Structure (POSCAR):
```
Ac6SiN4
1.0
-1.7171 3.1591 -1.7470
-4.9738 -3.5116 3.1125
2.8982 10.9990 17.0405
N Ac Si
8 12 2
Cartesian
-0.0147 8.1181 10.1204
-4.5116 -0.2550 3.9734
-0.3096 4.5211 8.4796
-3.7782 2.5284 8.2855
-3.4833 6.1254 9.9264
-1.5301 -0.1110 1.3032
0.7187 10.9015 14.4326
-2.2627 10.7575 17.1028
-0.0891 1.4815 2.7665
0.0817 9.2750 16.6914
-3.3627 1.3958 5.8292
0.5905 7.0790 7.6467
-2.8821 5.1377 7.5495
-0.4301 9.2507 12.5768
-3.7037 9.1650 15.6395
-4.2804 6.9765 12.2489
-3.8745 1.3715 1.7146
0.4875 3.6700 6.1571
-0.9107 5.5088 10.8565
-0.8586 1.5795 -0.8735
-2.0846 3.6831 4.1354
-1.7083 6.9634 14.2706
```

Computed properties:
- SG: Cmcm, No. 63
- E_form (uncorrected): -0.8814 eV/atom

No. 8
The following is a PBE calculation of an optimized crystal structure of TeOs2Pb, from Alexandria.

Structure (POSCAR):
```
TeOs2Pb
1.0
4.7990 0.0000 0.0000
2.3995 4.1561 0.0000
2.3995 1.3854 3.9184
Te Os Pb
1 2 1
Cartesian
7.1986 4.1561 2.9388
2.3995 1.3854 0.9796
0.0000 0.0000 0.0000
4.7990 2.7707 1.9592
```

Computed properties:
- ΔE to the lowest computed polymorph: 901 meV per atom
- SG: F-43m, No. 216
- E_form (uncorrected): 1.3816 eV/atom

No. 9
The following is a PBE calculation of an optimized crystal structure of AlBMo, from Alexandria.

Structure (POSCAR):
```
AlBMo
1.0
-0.2413 0.4527 -2.9360
-0.8671 -4.8544 0.8355
-4.9936 3.7460 0.9879
B Al Mo
2 2 2
Cartesian
-3.4854 -0.1442 -1.2487
-2.6166 -0.5116 0.1361
-2.6174 2.0993 -0.9740
0.0000 0.0000 0.0000
-4.4686 0.8230 0.4941
-1.6333 -1.4787 -1.6066
```

Computed properties:
- Energy of formation from the pure elements: -0.08 eV per atom
- SG: C2/m, No. 12

No. 10
The following is a PBE calculation of an optimized crystal structure of ZrTiBAs2, from Alexandria.

Structure (POSCAR):
```
ZrTiBAs2
1.0
4.8265 0.0000 0.0000
0.0000 4.0646 0.0000
0.0000 0.0000 4.8265
B Zr As Ti
1 1 2 1
Cartesian
0.0000 2.0323 0.0000
2.4133 2.0323 2.4133
2.4133 0.0000 0.0000
0.0000 0.0000 2.4133
0.0000 0.0000 0.0000
```

Computed properties:
- Energy of formation from the pure elements: 0.32 eV per atom
- SG: P4/mmm, No. 123

Let's list DOS(E_F) in order: 3.44, 27.04, 5.39, 7.03, 3.42, 3.25, 9.84, 6.02, 2.26, 2.45 states/eV per cell.
Let's list calculated volume in order: 52.1, 698.5, 492.1, 4355.3, 106.4, 61.1, 535.6, 78.2, 81.1, 94.7 Å³ per cell.